Density functional theory data (GGA-PBE) for a relaxed TbTm2Bi crystal.

Values from the calculation:
M_tot = 0.0 μB/f.u.
DOS at the Fermi energy = 6.2 states/eV per cell
Energy above the lowest structure with this stoichiometry = 116.9 meV per atom
Energy relative to the elements = -306 meV/atom

Cell and atoms, written as extended XYZ:
```
4
Lattice="4.8301 0.0000 0.0000 0.0000 4.8301 0.0000 0.0000 0.0000 4.8416" Properties=species:S:1:pos:R:3 pbc="T T T"
Tb 0.0000 0.0000 0.0000
Tm 0.0000 2.4151 2.4208
Tm 2.4151 0.0000 2.4208
Bi 2.4151 2.4151 0.0000
```